No. 1
# Gd3Tc5N12 | the Alexandria database | GGA-PBE | optimized geometry
data_Gd3Tc5N12
_chemical_formula_sum 'Gd12 Tc20 N48'
_cell_length_a 11.045
_cell_length_b 11.045
_cell_length_c 11.045
_cell_angle_alpha 109.47
_cell_angle_beta 109.47
_cell_angle_gamma 109.47
_space_group_name_H-M_alt 'P 1'
_space_group_IT_number 1
_space_group_name_Hall 'P 1'
loop_
_atom_site_label
_atom_site_fract_x
_atom_site_fract_y
_atom_site_fract_z
Gd1 0.125 0.250 0.375
Gd2 0.125 0.375 0.750
Gd3 0.250 0.375 0.125
Gd4 0.250 0.875 0.625
Gd5 0.375 0.125 0.250
Gd6 0.375 0.750 0.125
Gd7 0.625 0.250 0.875
Gd8 0.625 0.875 0.750
Gd9 0.750 0.125 0.375
Gd10 0.750 0.625 0.875
Gd11 0.875 0.625 0.250
Gd12 0.875 0.750 0.625
Tc1 0.000 0.000 0.000
Tc2 0.000 0.000 0.500
Tc3 0.000 0.500 0.000
Tc4 0.000 0.500 0.500
Tc5 0.125 0.750 0.875
Tc6 0.125 0.875 0.250
Tc7 0.250 0.125 0.875
Tc8 0.250 0.625 0.375
Tc9 0.375 0.250 0.625
Tc10 0.375 0.625 0.750
Tc11 0.500 0.000 0.000
Tc12 0.500 0.000 0.500
Tc13 0.500 0.500 0.000
Tc14 0.500 0.500 0.500
Tc15 0.625 0.375 0.250
Tc16 0.625 0.750 0.375
Tc17 0.750 0.375 0.625
Tc18 0.750 0.875 0.125
Tc19 0.875 0.125 0.750
Tc20 0.875 0.250 0.125
N1 0.015 0.198 0.116
N2 0.015 0.317 0.900
N3 0.082 0.698 0.683
N4 0.082 0.884 0.400
N5 0.100 0.616 0.418
N6 0.100 0.985 0.683
N7 0.116 0.015 0.198
N8 0.116 0.600 0.918
N9 0.183 0.198 0.582
N10 0.183 0.485 0.600
N11 0.198 0.116 0.015
N12 0.198 0.582 0.183
N13 0.302 0.317 0.918
N14 0.302 0.485 0.384
N15 0.317 0.900 0.015
N16 0.317 0.918 0.302
N17 0.384 0.302 0.485
N18 0.384 0.582 0.900
N19 0.400 0.082 0.884
N20 0.400 0.817 0.515
N21 0.418 0.100 0.616
N22 0.418 0.817 0.802
N23 0.485 0.384 0.302
N24 0.485 0.600 0.183
N25 0.515 0.400 0.817
N26 0.515 0.616 0.698
N27 0.582 0.183 0.198
N28 0.582 0.900 0.384
N29 0.600 0.183 0.485
N30 0.600 0.918 0.116
N31 0.616 0.418 0.100
N32 0.616 0.698 0.515
N33 0.683 0.082 0.698
N34 0.683 0.100 0.985
N35 0.698 0.515 0.616
N36 0.698 0.683 0.082
N37 0.802 0.418 0.817
N38 0.802 0.884 0.985
N39 0.817 0.515 0.400
N40 0.817 0.802 0.418
N41 0.884 0.400 0.082
N42 0.884 0.985 0.802
N43 0.900 0.015 0.317
N44 0.900 0.384 0.582
N45 0.918 0.116 0.600
N46 0.918 0.302 0.317
N47 0.985 0.683 0.100
N48 0.985 0.802 0.884
# **Uncorrected formation energy**: -447 meV/atom

No. 2
# AcYTm | the Alexandria database | GGA-PBE | optimized geometry
data_AcYTm
_chemical_formula_sum 'Ac1 Y1 Tm1'
_cell_length_a 8.120
_cell_length_b 8.120
_cell_length_c 8.120
_cell_angle_alpha 153.50
_cell_angle_beta 153.50
_cell_angle_gamma 37.83
_space_group_name_H-M_alt 'P 1'
_space_group_IT_number 1
_space_group_name_Hall 'P 1'
loop_
_atom_site_label
_atom_site_fract_x
_atom_site_fract_y
_atom_site_fract_z
Ac1 0.000 0.000 0.000
Y1 0.325 0.325 0.000
Tm1 0.671 0.671 0.000
# **Excess energy over the best structure of this formula in the dataset**: 0 meV per atom
# **Calculated formation energy**: 0.07 eV/atom

No. 3
# ScMoAs | the Alexandria database | GGA-PBE | optimized geometry
data_ScMoAs
_chemical_formula_sum 'Sc1 Mo1 As1'
_cell_length_a 4.290
_cell_length_b 4.290
_cell_length_c 3.491
_cell_angle_alpha 90.00
_cell_angle_beta 90.00
_cell_angle_gamma 120.00
_space_group_name_H-M_alt 'P 1'
_space_group_IT_number 1
_space_group_name_Hall 'P 1'
loop_
_atom_site_label
_atom_site_fract_x
_atom_site_fract_y
_atom_site_fract_z
Sc1 0.000 0.000 0.000
Mo1 0.333 0.667 0.500
As1 0.667 0.333 0.500
# **Calculated formation energy**: -0.24 eV/atom

No. 4
# Pr3MgSn2 | the Alexandria database | GGA-PBE | optimized geometry
data_Pr3MgSn2
_chemical_formula_sum 'Pr6 Mg2 Sn4'
_cell_length_a 9.732
_cell_length_b 9.732
_cell_length_c 9.732
_cell_angle_alpha 140.07
_cell_angle_beta 57.07
_cell_angle_gamma 140.97
_space_group_name_H-M_alt 'P 1'
_space_group_IT_number 1
_space_group_name_Hall 'P 1'
loop_
_atom_site_label
_atom_site_fract_x
_atom_site_fract_y
_atom_site_fract_z
Pr1 0.177 0.748 0.925
Pr2 0.250 0.250 0.000
Pr3 0.323 0.248 0.570
Pr4 0.677 0.752 0.430
Pr5 0.750 0.750 0.000
Pr6 0.823 0.252 0.075
Mg1 0.250 0.750 0.500
Mg2 0.750 0.250 0.500
Sn1 0.131 0.260 0.391
Sn2 0.369 0.760 0.128
Sn3 0.631 0.240 0.872
Sn4 0.869 0.740 0.609
# **Calculated formation energy**: -0.51 eV/atom

No. 5
# ScCd2 | the Alexandria database | GGA-PBE | optimized geometry
data_ScCd2
_chemical_formula_sum 'Sc4 Cd8'
_cell_length_a 13.787
_cell_length_b 13.787
_cell_length_c 13.787
_cell_angle_alpha 161.48
_cell_angle_beta 161.48
_cell_angle_gamma 26.30
_space_group_name_H-M_alt 'P 1'
_space_group_IT_number 1
_space_group_name_Hall 'P 1'
loop_
_atom_site_label
_atom_site_fract_x
_atom_site_fract_y
_atom_site_fract_z
Sc1 0.293 0.543 0.750
Sc2 0.457 0.707 0.750
Sc3 0.543 0.293 0.250
Sc4 0.707 0.457 0.250
Cd1 0.039 0.789 0.250
Cd2 0.126 0.376 0.750
Cd3 0.211 0.961 0.250
Cd4 0.376 0.126 0.250
Cd5 0.624 0.874 0.750
Cd6 0.789 0.039 0.750
Cd7 0.874 0.624 0.250
Cd8 0.961 0.211 0.750
# **Calculated formation energy**: -0.20 eV/atom

No. 6
# NaSmHo | the Alexandria database | GGA-PBE | optimized geometry
data_NaSmHo
_chemical_formula_sum 'Na1 Sm1 Ho1'
_cell_length_a 8.525
_cell_length_b 8.525
_cell_length_c 8.525
_cell_angle_alpha 156.21
_cell_angle_beta 156.21
_cell_angle_gamma 33.89
_space_group_name_H-M_alt 'P 1'
_space_group_IT_number 1
_space_group_name_Hall 'P 1'
loop_
_atom_site_label
_atom_site_fract_x
_atom_site_fract_y
_atom_site_fract_z
Na1 0.000 0.000 0.000
Sm1 0.677 0.677 0.000
Ho1 0.327 0.327 0.000
# **Excess energy over the best structure of this formula in the dataset**: 31 meV per atom
# **Calculated formation energy**: 0.15 eV/atom

No. 7
# RbGaAgHg2 | the Alexandria database | GGA-PBE | optimized geometry
data_RbGaAgHg2
_chemical_formula_sum 'Rb1 Ga1 Ag1 Hg2'
_cell_length_a 5.601
_cell_length_b 5.601
_cell_length_c 5.114
_cell_angle_alpha 90.00
_cell_angle_beta 90.00
_cell_angle_gamma 90.00
_space_group_name_H-M_alt 'P 1'
_space_group_IT_number 1
_space_group_name_Hall 'P 1'
loop_
_atom_site_label
_atom_site_fract_x
_atom_site_fract_y
_atom_site_fract_z
Rb1 0.000 0.000 0.000
Ga1 0.500 0.500 0.000
Ag1 0.500 0.500 0.500
Hg1 0.000 0.500 0.500
Hg2 0.500 0.000 0.500
# **Excess energy over the best structure of this formula in the dataset**: 87 meV per atom
# **Calculated formation energy**: 0.02 eV/atom

No. 8
# Pr2SmHoTe6 | the Alexandria database | GGA-PBE | optimized geometry
data_Pr2SmHoTe6
_chemical_formula_sum 'Pr2 Sm1 Ho1 Te6'
_cell_length_a 8.458
_cell_length_b 8.458
_cell_length_c 8.458
_cell_angle_alpha 55.72
_cell_angle_beta 55.72
_cell_angle_gamma 55.72
_space_group_name_H-M_alt 'P 1'
_space_group_IT_number 1
_space_group_name_Hall 'P 1'
loop_
_atom_site_label
_atom_site_fract_x
_atom_site_fract_y
_atom_site_fract_z
Pr1 0.000 0.000 0.000
Pr2 0.499 0.499 0.499
Sm1 0.191 0.191 0.191
Ho1 0.690 0.690 0.690
Te1 0.079 0.420 0.797
Te2 0.302 0.912 0.586
Te3 0.420 0.797 0.079
Te4 0.586 0.302 0.912
Te5 0.797 0.079 0.420
Te6 0.912 0.586 0.302
# **Uncorrected formation energy**: -1374 meV/atom